Entry from Alexandria: an optimized crystal structure of Sm6Fe2Au (PBE).

Cell lengths 8.488, 8.488, 8.488 Å; angles 111.59, 109.01, 107.84 degrees
Fractional coordinates of all 18 atoms:
Sm 0.006 0.216 0.790
Sm 0.185 0.293 0.478
Sm 0.185 0.707 0.892
Sm 0.318 0.028 0.711
Sm 0.318 0.607 0.289
Sm 0.427 0.216 0.210
Sm 0.573 0.784 0.790
Sm 0.682 0.393 0.711
Sm 0.682 0.972 0.289
Sm 0.815 0.293 0.108
Sm 0.815 0.707 0.522
Sm 0.994 0.784 0.210
Fe 0.110 0.610 0.500
Fe 0.389 0.000 0.389
Fe 0.611 0.000 0.611
Fe 0.890 0.390 0.500
Au 0.000 0.000 0.000
Au 0.500 0.500 0.000

Computed properties:
E_form ... -0.15 eV per atom
Uncorrected energy ... -5.539 eV per atom
Spin magnetization ... 2.9 Bohr magnetons per cell

Entry from Alexandria: an optimized crystal structure of Cr2Ir2Pt (PBE).

Cell lengths 6.211, 6.211, 6.211 Å; angles 145.65, 145.65, 49.37 degrees
Fractional coordinates of all 5 atoms:
Cr 0.250 0.750 0.500
Cr 0.750 0.250 0.500
Ir 0.110 0.110 0.000
Ir 0.890 0.890 0.000
Pt 0.500 0.500 0.000

Computed properties:
E_form ... 0.25 eV per atom
Uncorrected energy ... -8.357 eV per atom
Spin magnetization ... 0.0 Bohr magnetons per cell
ΔE to the lowest computed polymorph ... 31.4 kJ/mol of atoms

Entry from Alexandria: an optimized crystal structure of LaScPb2 (PBE).

Cell lengths 5.786, 5.786, 3.484 Å; angles 90.00, 90.00, 90.00 degrees
Fractional coordinates of all 4 atoms:
La 0.000 0.000 0.000
Sc 0.500 0.500 0.203
Pb 0.000 0.500 0.549
Pb 0.500 0.000 0.549

Computed properties:
E_form ... -0.36 eV per atom
Uncorrected energy ... -5.026 eV per atom
Spin magnetization ... 0.0 Bohr magnetons per cell

Entry from Alexandria: an optimized crystal structure of Ca12Y3Ho5 (PBE).

Cell lengths 17.318, 17.318, 17.318 Å; angles 109.47, 109.47, 109.47 degrees
Fractional coordinates of all 80 atoms:
Ca 0.070 0.227 0.140
Ca 0.070 0.343 0.930
Ca 0.070 0.640 0.413
Ca 0.070 0.930 0.657
Ca 0.087 0.727 0.657
Ca 0.087 0.860 0.430
Ca 0.140 0.070 0.227
Ca 0.140 0.570 0.913
Ca 0.157 0.227 0.587
Ca 0.157 0.430 0.570
Ca 0.227 0.140 0.070
Ca 0.227 0.587 0.157
Ca 0.273 0.343 0.913
Ca 0.273 0.430 0.360
Ca 0.343 0.913 0.273
Ca 0.343 0.930 0.070
Ca 0.360 0.273 0.430
Ca 0.360 0.587 0.930
Ca 0.413 0.070 0.640
Ca 0.413 0.843 0.773
Ca 0.430 0.087 0.860
Ca 0.430 0.360 0.273
Ca 0.430 0.570 0.157
Ca 0.430 0.843 0.570
Ca 0.570 0.157 0.430
Ca 0.570 0.430 0.843
Ca 0.570 0.640 0.727
Ca 0.570 0.913 0.140
Ca 0.587 0.157 0.227
Ca 0.587 0.930 0.360
Ca 0.640 0.413 0.070
Ca 0.640 0.727 0.570
Ca 0.657 0.070 0.930
Ca 0.657 0.087 0.727
Ca 0.727 0.570 0.640
Ca 0.727 0.657 0.087
Ca 0.773 0.413 0.843
Ca 0.773 0.860 0.930
Ca 0.843 0.570 0.430
Ca 0.843 0.773 0.413
Ca 0.860 0.430 0.087
Ca 0.860 0.930 0.773
Ca 0.913 0.140 0.570
Ca 0.913 0.273 0.343
Ca 0.930 0.070 0.343
Ca 0.930 0.360 0.587
Ca 0.930 0.657 0.070
Ca 0.930 0.773 0.860
Y 0.125 0.250 0.375
Y 0.125 0.375 0.750
Y 0.250 0.375 0.125
Y 0.250 0.875 0.625
Y 0.375 0.125 0.250
Y 0.375 0.750 0.125
Y 0.625 0.250 0.875
Y 0.625 0.875 0.750
Y 0.750 0.125 0.375
Y 0.750 0.625 0.875
Y 0.875 0.625 0.250
Y 0.875 0.750 0.625
Ho 0.000 0.000 0.000
Ho 0.000 0.000 0.500
Ho 0.000 0.500 0.000
Ho 0.000 0.500 0.500
Ho 0.125 0.750 0.875
Ho 0.125 0.875 0.250
Ho 0.250 0.125 0.875
Ho 0.250 0.625 0.375
Ho 0.375 0.250 0.625
Ho 0.375 0.625 0.750
Ho 0.500 0.000 0.000
Ho 0.500 0.000 0.500
Ho 0.500 0.500 0.000
Ho 0.500 0.500 0.500
Ho 0.625 0.375 0.250
Ho 0.625 0.750 0.375
Ho 0.750 0.375 0.625
Ho 0.750 0.875 0.125
Ho 0.875 0.125 0.750
Ho 0.875 0.250 0.125

Computed properties:
E_form ... 1.04 eV per atom
Uncorrected energy ... -2.274 eV per atom
Spin magnetization ... 0.0 Bohr magnetons per cell

Entry from Alexandria: an optimized crystal structure of InReHg2 (PBE).

Cell lengths 5.279, 5.279, 2.904 Å; angles 90.00, 90.00, 90.00 degrees
Fractional coordinates of all 4 atoms:
In 0.000 0.000 0.000
Re 0.500 0.500 0.000
Hg 0.000 0.500 0.500
Hg 0.500 0.000 0.500

Computed properties:
E_form ... 0.78 eV per atom
Uncorrected energy ... -3.169 eV per atom
Spin magnetization ... 0.0 Bohr magnetons per cell

Entry from Alexandria: an optimized crystal structure of NdTh2Ge2Rh7 (PBE).

Cell lengths 4.179, 4.179, 13.034 Å; angles 94.85, 94.85, 88.81 degrees
Fractional coordinates of all 12 atoms:
Nd 0.000 0.000 0.000
Th 0.078 0.078 0.349
Th 0.922 0.922 0.651
Ge 0.437 0.437 0.740
Ge 0.563 0.563 0.260
Rh 0.040 0.541 0.165
Rh 0.326 0.326 0.554
Rh 0.459 0.960 0.835
Rh 0.500 0.500 0.000
Rh 0.541 0.040 0.165
Rh 0.674 0.674 0.446
Rh 0.960 0.459 0.835

Computed properties:
E_form ... -0.71 eV per atom
Uncorrected energy ... -7.403 eV per atom
Spin magnetization ... 0.0 Bohr magnetons per cell

Entry from Alexandria: an optimized crystal structure of ScIr2 (PBE).

Cell lengths 4.396, 4.396, 3.000 Å; angles 90.00, 90.00, 120.00 degrees
Fractional coordinates of all 3 atoms:
Sc 0.000 0.000 0.000
Ir 0.333 0.667 0.500
Ir 0.667 0.333 0.500

Computed properties:
E_form ... -0.55 eV per atom
Uncorrected energy ... -8.570 eV per atom
Spin magnetization ... 0.0 Bohr magnetons per cell

Entry from Alexandria: an optimized crystal structure of KSrPb2 (PBE).

Cell lengths 4.137, 4.137, 9.795 Å; angles 90.00, 90.00, 91.58 degrees
Fractional coordinates of all 4 atoms:
K 0.000 0.000 0.000
Sr 0.500 0.500 0.375
Pb 0.000 0.000 0.594
Pb 0.500 0.500 0.750

Computed properties:
E_form ... -0.14 eV per atom
Uncorrected energy ... -2.691 eV per atom
Spin magnetization ... 0.0 Bohr magnetons per cell
ΔE to the lowest computed polymorph ... 16.4 kJ/mol of atoms

What is the spin magnetization in the seventh record? 0.0 Bohr magnetons per cell

What did the fourth record say?
Entry from Alexandria: an optimized crystal structure of Ca12Y3Ho5 (PBE).

Cell lengths 17.318, 17.318, 17.318 Å; angles 109.47, 109.47, 109.47 degrees
Fractional coordinates of all 80 atoms:
Ca 0.070 0.227 0.140
Ca 0.070 0.343 0.930
Ca 0.070 0.640 0.413
Ca 0.070 0.930 0.657
Ca 0.087 0.727 0.657
Ca 0.087 0.860 0.430
Ca 0.140 0.070 0.227
Ca 0.140 0.570 0.913
Ca 0.157 0.227 0.587
Ca 0.157 0.430 0.570
Ca 0.227 0.140 0.070
Ca 0.227 0.587 0.157
Ca 0.273 0.343 0.913
Ca 0.273 0.430 0.360
Ca 0.343 0.913 0.273
Ca 0.343 0.930 0.070
Ca 0.360 0.273 0.430
Ca 0.360 0.587 0.930
Ca 0.413 0.070 0.640
Ca 0.413 0.843 0.773
Ca 0.430 0.087 0.860
Ca 0.430 0.360 0.273
Ca 0.430 0.570 0.157
Ca 0.430 0.843 0.570
Ca 0.570 0.157 0.430
Ca 0.570 0.430 0.843
Ca 0.570 0.640 0.727
Ca 0.570 0.913 0.140
Ca 0.587 0.157 0.227
Ca 0.587 0.930 0.360
Ca 0.640 0.413 0.070
Ca 0.640 0.727 0.570
Ca 0.657 0.070 0.930
Ca 0.657 0.087 0.727
Ca 0.727 0.570 0.640
Ca 0.727 0.657 0.087
Ca 0.773 0.413 0.843
Ca 0.773 0.860 0.930
Ca 0.843 0.570 0.430
Ca 0.843 0.773 0.413
Ca 0.860 0.430 0.087
Ca 0.860 0.930 0.773
Ca 0.913 0.140 0.570
Ca 0.913 0.273 0.343
Ca 0.930 0.070 0.343
Ca 0.930 0.360 0.587
Ca 0.930 0.657 0.070
Ca 0.930 0.773 0.860
Y 0.125 0.250 0.375
Y 0.125 0.375 0.750
Y 0.250 0.375 0.125
Y 0.250 0.875 0.625
Y 0.375 0.125 0.250
Y 0.375 0.750 0.125
Y 0.625 0.250 0.875
Y 0.625 0.875 0.750
Y 0.750 0.125 0.375
Y 0.750 0.625 0.875
Y 0.875 0.625 0.250
Y 0.875 0.750 0.625
Ho 0.000 0.000 0.000
Ho 0.000 0.000 0.500
Ho 0.000 0.500 0.000
Ho 0.000 0.500 0.500
Ho 0.125 0.750 0.875
Ho 0.125 0.875 0.250
Ho 0.250 0.125 0.875
Ho 0.250 0.625 0.375
Ho 0.375 0.250 0.625
Ho 0.375 0.625 0.750
Ho 0.500 0.000 0.000
Ho 0.500 0.000 0.500
Ho 0.500 0.500 0.000
Ho 0.500 0.500 0.500
Ho 0.625 0.375 0.250
Ho 0.625 0.750 0.375
Ho 0.750 0.375 0.625
Ho 0.750 0.875 0.125
Ho 0.875 0.125 0.750
Ho 0.875 0.250 0.125

Computed properties:
E_form ... 1.04 eV per atom
Uncorrected energy ... -2.274 eV per atom
Spin magnetization ... 0.0 Bohr magnetons per cell